# 1
Compound: La2CeNi2Ge2
Source: Alexandria
Functional: GGA-PBE
Structure: relaxed

POSCAR file:
```
La2CeNi2Ge2
1.0
4.252 0.000 0.000
2.126 3.682 0.000
2.126 1.227 10.725
Ge La Ni Ce
2 2 2 1
Direct
0.275 0.275 0.174
0.725 0.725 0.826
0.884 0.884 0.347
0.116 0.116 0.653
0.610 0.610 0.169
0.390 0.390 0.831
0.000 0.000 0.000
```

Calculated values
Calculated total energy, eV/atom: -5.851
Energy of formation from the pure elements, eV/atom: -0.624

=====

# 2
Compound: LaCeGe2O8
Source: Alexandria
Functional: GGA-PBE
Structure: relaxed

POSCAR file:
```
LaCeGe2O8
1.0
5.200 0.000 0.000
0.000 5.200 0.000
-2.600 -2.600 5.795
O Ce Ge La
8 1 2 1
Direct
0.072 0.984 0.652
0.332 0.928 0.348
0.164 0.557 0.833
0.443 0.331 0.167
0.580 0.668 0.652
0.016 0.420 0.348
0.724 0.836 0.167
0.669 0.276 0.833
0.750 0.250 0.500
0.250 0.750 0.500
0.500 0.500 0.000
0.000 0.000 0.000
```

Calculated values
Calculated total energy, eV/atom: -7.340
Formation energy (no corrections), eV per atom: -2.360

=====

# 3
Compound: LaCeGePd
Source: Alexandria
Functional: GGA-PBE
Structure: relaxed

POSCAR file:
```
LaCeGePd
1.0
-3.340 3.097 -2.516
-5.058 -0.090 1.222
-2.155 4.047 2.461
La Ce Ge Pd
1 1 1 1
Direct
0.500 0.500 0.500
0.000 0.000 0.000
0.250 0.250 0.250
0.750 0.750 0.750
```

Calculated values
Calculated total energy, eV/atom: -5.817
Energy of formation from the pure elements, eV/atom: -0.650

=====

# 4
Compound: LaCe2Ge2Pd2
Source: Alexandria
Functional: GGA-PBE
Structure: relaxed

POSCAR file:
```
LaCe2Ge2Pd2
1.0
-2.519 -2.983 -2.173
1.923 -3.039 -2.651
0.479 -7.647 5.349
Pd La Ce Ge
2 1 2 2
Direct
0.583 0.583 0.250
0.417 0.417 0.750
0.000 0.000 0.000
0.140 0.140 0.580
0.860 0.860 0.420
0.741 0.741 0.778
0.259 0.259 0.222
```

Calculated values
Calculated total energy, eV/atom: -6.008
Energy of formation from the pure elements, eV/atom: -0.806

=====

# 5
Compound: La2CeGe4Pt3
Source: Alexandria
Functional: GGA-PBE
Structure: relaxed

POSCAR file:
```
La2CeGe4Pt3
1.0
4.381 0.000 0.000
0.000 4.381 0.000
0.000 0.000 11.405
Ge Pt Ce La
4 3 1 2
Direct
0.000 0.000 0.000
0.500 0.500 0.000
0.500 0.000 0.668
0.000 0.500 0.332
0.500 0.000 0.887
0.000 0.500 0.113
0.000 0.000 0.500
0.500 0.500 0.500
0.000 0.500 0.774
0.500 0.000 0.226
```

Calculated values
Calculated total energy, eV/atom: -6.136
Energy of formation from the pure elements, eV/atom: -0.897

=====

# 6
Compound: LaCeGePt
Source: Alexandria
Functional: GGA-PBE
Structure: relaxed

POSCAR file:
```
LaCeGePt
1.0
-5.031 -0.861 -0.952
-1.453 -4.204 -2.678
-2.469 -3.883 2.404
Pt La Ge Ce
1 1 1 1
Direct
0.250 0.250 0.250
0.500 0.500 0.500
0.750 0.750 0.750
0.000 0.000 0.000
```

Calculated values
Calculated total energy, eV/atom: -6.169
Energy of formation from the pure elements, eV/atom: -0.789
Distance to the lowest polymorph of the same formula, eV per atom: 0.0000